Computed, not measured: a relaxed Hf2V2H3 crystal at the PBE level of DFT. Values from VASP.

## Properties
The calculation puts the energy at -49.0 eV/f.u. The calculation puts the spin magnetization at 0.0 Bohr magnetons per cell.

Structure (Quantum ESPRESSO input):
```
&SYSTEM
  ibrav = 0, nat = 7, ntyp = 3
/
ATOMIC_SPECIES
Hf 178.49 Hf.upf
V 50.94 V.upf
H 1.01 H.upf
ATOMIC_POSITIONS crystal
Hf 0.604 0.818 0.207
V 0.837 0.670 0.674
H 0.000 0.000 0.000
H 0.250 0.741 0.500
Hf 0.396 0.182 0.793
V 0.163 0.330 0.326
H 0.750 0.259 0.500
CELL_PARAMETERS angstrom
3.077 0.000 0.000
0.000 5.139 0.013
-1.538 -2.306 4.895
```

Computed, not measured: a relaxed SrAlNi2 crystal at the PBE level of DFT. Values from VASP.

## Properties
The calculation puts the energy at -17.1 eV/f.u. For the energy relative to the elements, the calculation gives -0.58 kcal/mol of atoms. The calculation puts the spin magnetization at 0.0 Bohr magnetons per cell.

Structure (Quantum ESPRESSO input):
```
&SYSTEM
  ibrav = 0, nat = 8, ntyp = 3
/
ATOMIC_SPECIES
Ni 58.69 Ni.upf
Sr 87.62 Sr.upf
Al 26.98 Al.upf
ATOMIC_POSITIONS crystal
Ni 0.397 0.125 0.250
Sr 0.750 0.250 0.500
Sr 0.000 0.000 0.000
Ni 0.375 0.603 0.750
Al 0.250 0.750 0.500
Ni 0.353 0.625 0.250
Al 0.500 0.500 0.000
Ni 0.875 0.647 0.750
CELL_PARAMETERS angstrom
4.750 0.000 0.000
0.000 4.750 0.000
2.375 2.375 8.011
```

Computed, not measured: a relaxed LuUZn4 crystal at the PBE level of DFT. Values from VASP.

## Properties
The calculation puts the energy at -21.3 eV/f.u. For the energy relative to the elements, the calculation gives -1.37 kcal/mol of atoms. The calculation puts the spin magnetization at 2.5 Bohr magnetons per cell.

Structure (Quantum ESPRESSO input):
```
&SYSTEM
  ibrav = 0, nat = 6, ntyp = 3
/
ATOMIC_SPECIES
Zn 65.41 Zn.upf
U 238.03 U.upf
Lu 174.97 Lu.upf
ATOMIC_POSITIONS crystal
Zn 0.125 0.625 0.625
U 0.000 0.000 0.000
Lu 0.250 0.250 0.250
Zn 0.625 0.125 0.625
Zn 0.625 0.625 0.625
Zn 0.625 0.625 0.125
CELL_PARAMETERS angstrom
-4.773 1.644 -1.932
-4.576 -2.147 1.915
-3.291 2.968 3.094
```

Computed, not measured: a relaxed BaIn2ReS crystal at the PBE level of DFT. Values from VASP.

## Properties
The calculation puts the energy at -15.9 eV/f.u. The calculation puts the spin magnetization at 4.3 Bohr magnetons per cell. For the formation energy without anion corrections, the calculation gives 1618.9 meV/atom.

Structure (Quantum ESPRESSO input):
```
&SYSTEM
  ibrav = 0, nat = 5, ntyp = 4
/
ATOMIC_SPECIES
In 114.82 In.upf
Ba 137.33 Ba.upf
S 32.06 S.upf
Re 186.21 Re.upf
ATOMIC_POSITIONS crystal
In 0.000 0.500 0.000
Ba 0.000 0.000 0.000
In 0.500 0.000 0.000
S 0.000 0.000 0.500
Re 0.500 0.500 0.500
CELL_PARAMETERS angstrom
6.632 0.000 0.000
0.000 6.632 0.000
0.000 0.000 5.653
```

- What is the formula in the second record?
  SrAlNi2

- Number 4 is which compound?
  BaIn2ReS

- The lowest energy belongs to which entry?
  Hf2V2H3